Entry from Alexandria: NbCd2Au after structural relaxation (GGA-PBE).

Lattice parameters (Å, degrees): 4.7867 4.7867 4.7867 60.00 60.00 60.00
Fractional coordinates of all 4 atoms:
Cd 0.2500 0.2500 0.2500
Nb 0.0000 0.0000 0.0000
Au 0.5000 0.5000 0.5000
Cd 0.7500 0.7500 0.7500

Properties
electronic total energy = -3.523 eV/atom
space-group type = Fm-3m (225)
V = 19.39 Å³ per atom
energy above the lowest structure with this stoichiometry = 0 meV/atom
ΔE_f = 0.271 eV/atom